Record 1
Computed, not measured: a relaxed Ba4Cd crystal at the GGA-PBE level of DFT.

The value obtained for the density of states at the Fermi level is 12.2 states/eV/cell. As for the total energy: -1.67 eV/atom. Its magnetic moment is 0.000 μB/atom. The excess energy over the best structure of this formula in the dataset is 16.44 kJ/mol of atoms. The value obtained for the formation energy is 52 meV/atom.

The space group is Im-3m (No. 229) and the conventional cell measures 8.315, 8.315 and 8.315 Å, with angles of 90.00, 90.00 and 90.00 degrees. The distinct sites, in fractional coordinates, are Ba at (0.250, 0.250, 0.250) and Cd at (0.000, 0.000, 0.000).

---

Record 2
Computed, not measured: a relaxed Ba3Cd2 crystal at the GGA-PBE level of DFT.

The value obtained for the density of states at the Fermi level is 41.4 states/eV/cell. As for the total energy: -1.68 eV/atom. Its magnetic moment is 0.000 μB/atom. The excess energy over the best structure of this formula in the dataset is 9.85 kJ/mol of atoms. The value obtained for the formation energy is -156 meV/atom.

The space group is Fdd2 (No. 43) and the conventional cell measures 15.701, 26.866 and 4.206 Å, with angles of 90.00, 90.00 and 90.00 degrees. The distinct sites, in fractional coordinates, are Ba at (0.000, 0.000, 0.000), Ba at (0.079, 0.143, 0.742) and Cd at (0.060, 0.280, 0.721).

---

Record 3
Computed, not measured: a relaxed Ba6Cd23 crystal at the GGA-PBE level of DFT.

The value obtained for the density of states at the Fermi level is 54.1 states/eV/cell. As for the total energy: -1.37 eV/atom. Its magnetic moment is 0.039 μB/atom. The value obtained for the formation energy is -249 meV/atom.

The space group is Fm-3m (No. 225) and the conventional cell measures 14.869, 14.869 and 14.869 Å, with angles of 90.00, 90.00 and 90.00 degrees. The distinct sites, in fractional coordinates, are Ba at (0.000, 0.000, 0.215), Cd at (0.000, 0.000, 0.500), Cd at (0.000, 0.250, 0.250), Cd at (0.123, 0.123, 0.377) and Cd at (0.173, 0.173, 0.173).

---

Record 4
Computed, not measured: a relaxed Ba3Cd crystal at the GGA-PBE level of DFT.

The value obtained for the density of states at the Fermi level is 14.4 states/eV/cell. As for the total energy: -1.72 eV/atom. Its magnetic moment is 0.000 μB/atom. The excess energy over the best structure of this formula in the dataset is 10.31 kJ/mol of atoms. The value obtained for the formation energy is -50 meV/atom.

The space group is P6_3/mmc (No. 194) and the conventional cell measures 8.2090, 8.2090 and 6.4532 Å, with angles of 90.00, 90.00 and 120.00 degrees. The distinct sites, in fractional coordinates, are Ba at (0.1743, 0.3487, 0.2500) and Cd at (0.3333, 0.6667, 0.7500).

---

Record 5
Computed, not measured: a relaxed Ba3Cd crystal at the GGA-PBE level of DFT.

The value obtained for the density of states at the Fermi level is 9.6 states/eV/cell. As for the total energy: -1.67 eV/atom. Its magnetic moment is 0.000 μB/atom. The excess energy over the best structure of this formula in the dataset is 15.26 kJ/mol of atoms. The value obtained for the formation energy is 2 meV/atom.

The space group is Pm-3n (No. 223) and the conventional cell measures 7.244, 7.244 and 7.244 Å, with angles of 90.00, 90.00 and 90.00 degrees. The distinct sites, in fractional coordinates, are Ba at (0.000, 0.250, 0.500) and Cd at (0.000, 0.000, 0.000).

---

Record 6
Computed, not measured: a relaxed Ba3Cd4 crystal at the GGA-PBE level of DFT.

The value obtained for the density of states at the Fermi level is 6.8 states/eV/cell. As for the total energy: -1.34 eV/atom. Its magnetic moment is 0.000 μB/atom. The value obtained for the formation energy is 3 meV/atom.

The space group is P6/mmm (No. 191) and the conventional cell measures 7.8409, 7.8409 and 5.5222 Å, with angles of 90.00, 90.00 and 120.00 degrees. The distinct sites, in fractional coordinates, are Ba at (0.0000, 0.5000, 0.0000), Cd at (0.0000, 0.0000, 0.2527) and Cd at (0.3333, 0.6667, 0.5000).

---

Record 7
Computed, not measured: a relaxed Ba4Cd crystal at the GGA-PBE level of DFT.

The value obtained for the density of states at the Fermi level is 32.7 states/eV/cell. As for the total energy: -1.76 eV/atom. Its magnetic moment is 0.000 μB/atom. The excess energy over the best structure of this formula in the dataset is 7.78 kJ/mol of atoms. The value obtained for the formation energy is -38 meV/atom.

The space group is Ccce (No. 68, origin choice 2) and the conventional cell measures 8.718, 15.326 and 8.397 Å, with angles of 90.00, 90.00 and 90.00 degrees. The distinct sites, in fractional coordinates, are Ba at (0.167, 0.128, 0.067) and Cd at (0.000, 0.250, 0.750).

---

Record 8
Computed, not measured: a relaxed Ba7Cd31 crystal at the GGA-PBE level of DFT.

The value obtained for the density of states at the Fermi level is 22.6 states/eV/cell. As for the total energy: -1.35 eV/atom. Its magnetic moment is 0.000 μB/atom. The value obtained for the formation energy is -245 meV/atom.

The space group is P-6m2 (No. 187) and the conventional cell measures 10.7991, 10.7991 and 10.4310 Å, with angles of 90.00, 90.00 and 120.00 degrees. The distinct sites, in fractional coordinates, are Ba at (0.0000, 0.0000, 0.0000), Ba at (0.1655, 0.3311, 0.5000), Ba at (0.3333, 0.6667, 0.0000), Ba at (0.6667, 0.3333, 0.2034), Cd at (0.0000, 0.0000, 0.3469), Cd at (0.0311, 0.5155, 0.2742), Cd at (0.1669, 0.3339, 0.1667), Cd at (0.2979, 0.1490, 0.2613), Cd at (0.3333, 0.6667, 0.3507), Cd at (0.3926, 0.0585, 0.0000) and Cd at (0.4724, 0.2362, 0.5000).